Compound: AcLaSm3Ho
Source: the Alexandria database
Functional: PBE
Structure: relaxed

```
AcLaSm3Ho
1.0
-5.6234 -1.6372 0.0632
5.4682 -8.1352 4.3855
-0.8158 3.0509 6.4539
Ho Sm La Ac
2 6 2 2
Cartesian
1.4512 -4.7353 6.4571
-2.4222 -1.9863 4.4455
0.9464 -3.1116 3.6068
-1.2522 -5.9947 4.7024
0.2813 -0.7268 6.2002
2.3459 -7.8279 5.9518
-3.3169 1.1064 4.9508
-1.9174 -3.6100 7.2958
-1.0284 -6.6120 8.6278
0.0575 -0.1096 2.2748
-2.0548 -3.3609 1.5196
1.0838 -3.3607 9.3830
```

Values from the calculation:
* Fermi-level density of states: 17.86 states/eV/cell
* theoretical density: 7.50 g/cm3
* spin magnetization: 0.00 μB/atom
* formation enthalpy at 0 K: 0.1885 eV/atom